4
Lattice="4.6333 0.0000 0.0000 0.0000 4.6333 0.0000 0.0000 0.0000 4.2053" Properties=species:S:1:pos:R:3 comment="TbTiHg2, optimized geometry, DFT GGA-PBE" density_g_cm3=11.183 e_above_lowest_polymorph_ev_per_fu=0.10 ef_ev_per_atom=-0.16 sg="No. 123" crystal_system=tetragonal pbc="T T T"
Tb 0.0000 0.0000 0.0000
Ti 2.3166 2.3166 0.0000
Hg 0.0000 2.3166 2.1027
Hg 2.3166 0.0000 2.1027

4
Lattice="0.0000 3.4895 3.4895 3.4895 0.0000 3.4895 3.4895 3.4895 0.0000" Properties=species:S:1:pos:R:3 comment="TbTiZnHg, optimized geometry, DFT GGA-PBE" density_g_cm3=9.238 ef_ev_per_atom=-0.15 sg="No. 216" crystal_system=cubic pbc="T T T"
Tb 0.0000 0.0000 0.0000
Ti 3.4895 3.4895 3.4895
Zn 1.7448 1.7448 1.7448
Hg 5.2343 5.2343 5.2343

8
Lattice="4.6684 0.0000 0.0000 0.0000 4.7494 0.0000 0.0000 0.0000 9.2292" Properties=species:S:1:pos:R:3 comment="Tb2Tl3Hg3, optimized geometry, DFT GGA-PBE" density_g_cm3=12.438 ef_ev_per_atom=-0.28 sg="No. 47" crystal_system=orthorhombic pbc="T T T"
Tb 0.0000 0.0000 2.2844
Tb 0.0000 0.0000 6.9448
Tl 0.0000 2.3747 4.6146
Tl 2.3342 0.0000 0.0000
Tl 2.3342 0.0000 4.6146
Hg 0.0000 2.3747 0.0000
Hg 2.3342 2.3747 2.2829
Hg 2.3342 2.3747 6.9463

7
Lattice="2.6408 1.5247 8.5942 -2.6408 1.5247 8.5942 0.0000 -3.0494 8.5942" Properties=species:S:1:pos:R:3 comment="Tb4Tl2Hg, optimized geometry, DFT GGA-PBE" density_g_cm3=9.958 e_above_lowest_polymorph_ev_per_fu=0.00 ef_ev_per_atom=-0.26 sg="No. 166" crystal_system=trigonal pbc="T T T"
Tb 0.0000 0.0000 3.1534
Tb 0.0000 0.0000 9.6343
Tb 0.0000 0.0000 16.1483
Tb 0.0000 0.0000 22.6292
Tl 0.0000 0.0000 6.4929
Tl 0.0000 0.0000 19.2897
Hg 0.0000 0.0000 12.8913